1.
# HfZrMoAu

A relaxed structure of HfZrMoAu (PBE, Alexandria).

Results
Energy ... -8.51 eV per atom
ΔE_f ... -0.3591 eV/atom
E above lowest polymorph ... 0.0 meV/atom
Magnetic moment ... 0.00 Bohr magnetons per cell

Unit cell a=3.4160 b=3.4160 c=6.5774 alpha=90.00 beta=90.00 gamma=90.00
Last column: nearest neighbours and their distance in Å.
Fractional positions:
Hf  0.5000  0.5000  0.5929  4 Mo 2.86, 4 Au 2.96, 1 Zr 3.09
Mo  0.0000  0.0000  0.3600  4 Hf 2.86, 4 Zr 2.88
Au  0.0000  0.0000  0.8525  4 Hf 2.96, 4 Zr 3.00, 1 Mo 3.24
Zr  0.5000  0.5000  0.1225  4 Mo 2.88, 4 Au 3.00, 1 Hf 3.09

=====

2.
# HfZrMoAu

A relaxed structure of HfZrMoAu (PBE, Alexandria).

Results
Energy ... -8.41 eV per atom
ΔE_f ... -0.2581 eV/atom
E above lowest polymorph ... 101.0 meV/atom
Magnetic moment ... 0.00 Bohr magnetons per cell

Unit cell a=4.7626 b=4.7626 c=4.7626 alpha=60.00 beta=60.00 gamma=60.00
Last column: nearest neighbours and their distance in Å.
Fractional positions:
Au  0.0000  0.0000  0.0000  4 Hf 2.92, 4 Zr 2.92
Zr  0.2500  0.2500  0.2500  4 Mo 2.92, 4 Au 2.92
Hf  0.7500  0.7500  0.7500  4 Mo 2.92, 4 Au 2.92
Mo  0.5000  0.5000  0.5000  4 Hf 2.92, 4 Zr 2.92

=====

3.
# HfAuN

A relaxed structure of HfAuN (PBE, Alexandria).

Results
Energy ... -8.03 eV per atom
E above lowest polymorph ... 277.8 meV/atom
Magnetic moment ... 0.00 Bohr magnetons per cell

Unit cell a=5.0857 b=4.3471 c=4.3396 alpha=90.00 beta=92.76 gamma=90.00
Last column: nearest neighbours and their distance in Å.
Fractional positions:
N  0.5409  0.5000  0.0757  4 Hf 2.15-2.19
N  0.5409  0.0000  0.5757  4 Hf 2.15-2.19
Hf  0.5519  0.0000  0.0710  4 N 2.15-2.19
Hf  0.5519  0.5000  0.5710  4 N 2.15-2.19
Au  0.0549  0.0000  0.3825  2 N 2.57-2.78, 1 Hf 2.84
Au  0.0549  0.5000  0.8825  2 N 2.57-2.78, 1 Hf 2.84

=====

Number 1: DOS at the Fermi energy 3.37 states/eV per cell. Number 2: DOS at the Fermi energy 3.56 states/eV per cell. Number 3: DOS at the Fermi energy 1.68 states/eV per cell.